1.
A relaxed structure of TlFe2Au. Source: Alexandria, functional GGA-PBE.

space-group type = Imm2
V = 66.31 Å³/cell
ΔE_f = 0.36 eV per atom
Fermi-level density of states = 2.67 states/eV/cell

Cell lengths 5.393, 5.393, 5.393 Å; angles 146.28, 129.72, 61.92 degrees
Each line ends with the local moment (μB).
Positions (direct):
Au: 0.231 0.731 0.500  0.00
Fe: 0.782 0.282 0.500  2.74
Fe: 0.979 0.979 0.000  2.60
Tl: 0.509 0.509 0.000  -0.05

***

2.
A relaxed structure of TlFe2Au. Source: Alexandria, functional GGA-PBE.

space-group type = R3m
V = 69.95 Å³/cell
ΔE_f = 0.42 eV per atom
Fermi-level density of states = 3.11 states/eV/cell

Cell lengths 8.848, 8.848, 8.848 Å; angles 19.86, 19.86, 19.86 degrees
Each line ends with the local moment (μB).
Positions (direct):
Tl: 0.507 0.507 0.507  -0.03
Au: 0.739 0.739 0.739  0.01
Fe: 0.262 0.262 0.262  2.61
Fe: 0.993 0.993 0.993  2.85

***

3.
A relaxed structure of Tl2Fe2Au. Source: Alexandria, functional GGA-PBE.

space-group type = P4/mbm
V = 189.72 Å³/cell
ΔE_f = 0.42 eV per atom
Fermi-level density of states = 4.68 states/eV/cell

Cell lengths 6.903, 6.903, 3.981 Å; angles 90.00, 90.00, 90.00 degrees
Each line ends with the local moment (μB).
Positions (direct):
Fe: 0.618 0.118 0.000  2.60
Tl: 0.679 0.821 0.500  -0.05
Fe: 0.382 0.882 0.000  2.60
Tl: 0.321 0.179 0.500  -0.05
Fe: 0.118 0.382 0.000  2.60
Tl: 0.179 0.679 0.500  -0.06
Au: 0.000 0.000 0.000  -0.02
Au: 0.500 0.500 0.000  -0.01
Tl: 0.821 0.321 0.500  -0.06
Fe: 0.882 0.618 0.000  2.60

***

4.
A relaxed structure of Tl3FeAu. Source: Alexandria, functional GGA-PBE.

space-group type = Pm-3m
V = 135.15 Å³/cell
ΔE_f = 0.44 eV per atom
Fermi-level density of states = 7.74 states/eV/cell

Cell lengths 5.132, 5.132, 5.132 Å; angles 90.00, 90.00, 90.00 degrees
Each line ends with the local moment (μB).
Positions (direct):
Fe: 0.000 0.000 0.000  1.69
Tl: 0.500 0.000 0.000  -0.06
Au: 0.500 0.500 0.500  0.01
Tl: 0.000 0.500 0.000  -0.04
Tl: 0.000 0.000 0.500  -0.01

***

5.
A relaxed structure of TlFe2Au. Source: Alexandria, functional GGA-PBE.

space-group type = Cm
V = 67.07 Å³/cell
ΔE_f = 0.36 eV per atom
Fermi-level density of states = 2.45 states/eV/cell

Cell lengths 5.169, 5.169, 4.686 Å; angles 71.65, 71.65, 34.58 degrees
Each line ends with the local moment (μB).
Positions (direct):
Fe: 0.976 0.976 0.002  2.72
Tl: 0.512 0.512 0.475  -0.03
Fe: 0.282 0.282 0.232  2.81
Au: 0.730 0.730 0.791  0.04

***

6.
A relaxed structure of TlFeAu2. Source: Alexandria, functional GGA-PBE.

space-group type = I-4m2
V = 73.98 Å³/cell
ΔE_f = 0.33 eV per atom
Fermi-level density of states = 4.61 states/eV/cell

Cell lengths 4.986, 4.986, 4.986 Å; angles 128.43, 128.43, 75.93 degrees
Each line ends with the local moment (μB).
Positions (direct):
Au: 0.000 0.000 0.000  0.02
Tl: 0.750 0.250 0.500  -0.01
Fe: 0.500 0.500 0.000  2.95
Au: 0.250 0.750 0.500  0.03